# Ti2Zn2Cu3

A geometry-optimized Ti2Zn2Cu3 structure (GGA-PBE, Alexandria via LeMat-Bulk).

Summary:
The value obtained for the density of states at the Fermi level is 4.68 states/eV per cell. The calculation puts the volume at 14.071 Å³/atom. The calculation puts the total energy at -4.459 eV per atom.

The structure in CIF format:
```
data_Ti2Zn2Cu3
_symmetry_space_group_name_H-M 'P 1'
_symmetry_Int_Tables_number 1
_symmetry_space_group_name_Hall 'P 1'
_cell_length_a 5.110
_cell_length_b 5.110
_cell_length_c 6.998
_cell_angle_alpha 97.33
_cell_angle_beta 97.33
_cell_angle_gamma 32.95
loop_
_atom_site_label
_atom_site_fract_x
_atom_site_fract_y
_atom_site_fract_z
Ti1 0.136 0.136 0.427
Ti2 0.864 0.864 0.573
Zn1 0.404 0.404 0.252
Zn2 0.596 0.596 0.748
Cu1 0.000 0.000 0.000
Cu2 0.299 0.299 0.870
Cu3 0.701 0.701 0.130
```